1.
The following is a PBE calculation of a geometry-optimized UTi2N4 structure, from Alexandria.

Results
DOS(E_F) ... 0.45 states/eV/atom
Density ... 8400 kg/m3
Formation energy without anion corrections ... -10.21 eV/f.u.
Magnetic moment ... 1.93 μB/cell

Cell lengths 3.085, 5.184, 10.092 Å; angles 90.00, 90.00, 107.31 degrees
Fractional positions:
U1 0.614 0.227 0.750
U2 0.386 0.773 0.250
Ti1 0.130 0.260 0.439
Ti2 0.870 0.740 0.939
Ti3 0.130 0.260 0.061
Ti4 0.870 0.740 0.561
N1 0.771 0.543 0.117
N2 0.771 0.543 0.383
N3 0.229 0.457 0.883
N4 0.229 0.457 0.617
N5 0.951 0.901 0.750
N6 0.049 0.099 0.250
N7 0.500 0.000 0.000
N8 0.500 0.000 0.500

---

2.
The following is a PBE calculation of a geometry-optimized UTiN2 structure, from Alexandria.

Results
DOS(E_F) ... 1.13 states/eV/atom
Density ... 11084 kg/m3
Formation energy without anion corrections ... -4.88 eV/f.u.
Magnetic moment ... 1.18 μB/cell

Cell lengths 3.045, 3.045, 6.115 Å; angles 75.58, 75.58, 60.00 degrees
Fractional positions:
U1 0.670 0.670 0.990
Ti1 0.497 0.497 0.508
N1 0.094 0.094 0.717
N2 0.238 0.238 0.286

---

3.
The following is a PBE calculation of a geometry-optimized Ti3VN2 structure, from Alexandria.

Results
DOS(E_F) ... 0.71 states/eV/atom
Density ... 5628 kg/m3
Formation energy without anion corrections ... -4.30 eV/f.u.
Magnetic moment ... 0.00 μB/cell

Cell lengths 5.052, 5.099, 5.099 Å; angles 89.63, 90.00, 90.00 degrees
Fractional positions:
Ti1 0.250 0.923 0.077
Ti2 0.750 0.077 0.923
Ti3 0.250 0.072 0.571
Ti4 0.750 0.928 0.429
Ti5 0.250 0.429 0.928
Ti6 0.750 0.571 0.072
V1 0.250 0.570 0.430
V2 0.750 0.430 0.570
N1 0.000 0.257 0.257
N2 0.500 0.743 0.743
N3 0.000 0.743 0.743
N4 0.500 0.257 0.257

---

4.
The following is a PBE calculation of a geometry-optimized Ti7V2N2 structure, from Alexandria.

Results
DOS(E_F) ... 0.64 states/eV/atom
Density ... 5015 kg/m3
Formation energy without anion corrections ... -4.75 eV/f.u.
Magnetic moment ... 0.00 μB/cell

Cell lengths 2.820, 8.072, 8.072 Å; angles 58.79, 79.94, 79.94 degrees
Fractional positions:
Ti1 0.822 0.062 0.294
Ti2 0.843 0.397 0.917
Ti3 0.500 0.056 0.944
Ti4 0.651 0.430 0.268
Ti5 0.349 0.732 0.570
Ti6 0.178 0.706 0.938
Ti7 0.157 0.083 0.603
V1 0.000 0.765 0.235
V2 0.500 0.386 0.614
N1 0.741 0.878 0.640
N2 0.259 0.360 0.122

---

5.
The following is a PBE calculation of a geometry-optimized Ti4VN4 structure, from Alexandria.

Results
DOS(E_F) ... 0.56 states/eV/atom
Density ... 5321 kg/m3
Formation energy without anion corrections ... -13.80 eV/f.u.
Magnetic moment ... 0.00 μB/cell

Cell lengths 4.272, 5.135, 5.136 Å; angles 79.97, 65.37, 65.43 degrees
Fractional positions:
Ti1 0.606 0.586 0.201
Ti2 0.394 0.414 0.799
Ti3 0.192 0.201 0.414
Ti4 0.808 0.799 0.586
V1 0.000 0.000 0.000
N1 0.900 0.396 0.803
N2 0.100 0.604 0.197
N3 0.297 0.803 0.604
N4 0.703 0.197 0.396

---

6.
The following is a PBE calculation of a geometry-optimized Ti3V2N4 structure, from Alexandria.

Results
DOS(E_F) ... 0.33 states/eV/atom
Density ... 5479 kg/m3
Formation energy without anion corrections ... -12.96 eV/f.u.
Magnetic moment ... 0.00 μB/cell

Cell lengths 2.970, 5.133, 6.507 Å; angles 77.99, 76.81, 73.18 degrees
Fractional positions:
Ti1 0.000 0.000 0.000
Ti2 0.185 0.416 0.215
Ti3 0.815 0.584 0.785
V1 0.619 0.154 0.608
V2 0.381 0.846 0.392
N1 0.792 0.115 0.301
N2 0.208 0.885 0.699
N3 0.400 0.299 0.901
N4 0.600 0.701 0.099

---

7.
The following is a PBE calculation of a geometry-optimized Ti2VN3 structure, from Alexandria.

Results
DOS(E_F) ... 0.64 states/eV/atom
Density ... 5592 kg/m3
Formation energy without anion corrections ... -8.80 eV/f.u.
Magnetic moment ... 0.01 μB/cell

Cell lengths 2.980, 4.210, 5.158 Å; angles 114.09, 106.79, 90.00 degrees
Fractional positions:
Ti1 0.837 0.837 0.174
Ti2 0.163 0.163 0.826
V1 0.500 0.500 0.500
N1 0.833 0.333 0.166
N2 0.167 0.667 0.834
N3 0.500 0.000 0.500

---

8.
The following is a PBE calculation of a geometry-optimized Ti4VN5 structure, from Alexandria.

Results
DOS(E_F) ... 0.43 states/eV/atom
Density ... 5490 kg/m3
Formation energy without anion corrections ... -15.77 eV/f.u.
Magnetic moment ... 0.00 μB/cell

Cell lengths 2.997, 5.177, 6.675 Å; angles 75.03, 77.03, 73.18 degrees
Fractional positions:
Ti1 0.597 0.197 0.608
Ti2 0.206 0.392 0.196
Ti3 0.794 0.608 0.804
Ti4 0.403 0.803 0.392
V1 0.000 0.000 0.000
N1 0.201 0.899 0.700
N2 0.799 0.101 0.300
N3 0.400 0.300 0.900
N4 0.000 0.500 0.500
N5 0.600 0.700 0.100

---

9.
The following is a PBE calculation of a geometry-optimized Ti2V3N4 structure, from Alexandria.

Results
DOS(E_F) ... 0.69 states/eV/atom
Density ... 5611 kg/m3
Formation energy without anion corrections ... -10.70 eV/f.u.
Magnetic moment ... 0.00 μB/cell

Cell lengths 2.941, 5.101, 6.601 Å; angles 74.30, 77.13, 73.25 degrees
Fractional positions:
Ti1 0.603 0.185 0.608
Ti2 0.397 0.815 0.392
V1 0.000 0.000 0.000
V2 0.216 0.387 0.180
V3 0.784 0.613 0.820
N1 0.797 0.105 0.300
N2 0.203 0.895 0.700
N3 0.402 0.307 0.890
N4 0.598 0.693 0.110

---

10.
The following is a PBE calculation of a geometry-optimized Ti4VN structure, from Alexandria.

Results
DOS(E_F) ... 0.92 states/eV/atom
Density ... 4862 kg/m3
Formation energy without anion corrections ... -3.37 eV/f.u.
Magnetic moment ... 1.28 μB/cell

Cell lengths 4.220, 5.759, 7.509 Å; angles 90.00, 106.32, 90.00 degrees
Fractional positions:
Ti1 0.904 0.276 0.808
Ti2 0.096 0.776 0.192
Ti3 0.481 0.978 0.963
Ti4 0.519 0.478 0.037
Ti5 0.709 0.554 0.418
Ti6 0.291 0.054 0.582
Ti7 0.677 0.065 0.353
Ti8 0.323 0.565 0.647
V1 0.884 0.783 0.768
V2 0.116 0.283 0.232
N1 0.598 0.777 0.197
N2 0.402 0.277 0.803

---

11.
The following is a PBE calculation of a geometry-optimized TiV2ZnN structure, from Alexandria.

Results
DOS(E_F) ... 0.91 states/eV/atom
Density ... 5967 kg/m3
Formation energy without anion corrections ... -3.13 eV/f.u.
Magnetic moment ... 0.00 μB/cell

Cell lengths 3.903, 3.903, 4.187 Å; angles 90.00, 90.00, 90.00 degrees
Fractional positions:
N1 0.000 0.000 0.000
Zn1 0.500 0.500 0.500
Ti1 0.000 0.000 0.500
V1 0.000 0.500 0.000
V2 0.500 0.000 0.000

---

12.
The following is a PBE calculation of a geometry-optimized Ti2VZnN structure, from Alexandria.

Results
DOS(E_F) ... 0.54 states/eV/atom
Density ... 5634 kg/m3
Formation energy without anion corrections ... -3.85 eV/f.u.
Magnetic moment ... 0.00 μB/cell

Cell lengths 4.160, 4.160, 3.850 Å; angles 90.00, 90.00, 90.00 degrees
Fractional positions:
N1 0.000 0.000 0.000
Zn1 0.500 0.500 0.500
Ti1 0.000 0.500 0.000
Ti2 0.500 0.000 0.000
V1 0.000 0.000 0.500